The following is a DFT calculation (PBE-GGA) of Sm2Sc2CBr3Cl2 after structural relaxation.

Cell lengths 17.018, 3.739, 8.375 Å; angles 90.00, 103.21, 90.00 degrees
Space group C2/m (No. 12)
Inequivalent atoms, fractional coordinates:
Sm  0.002  0.000  0.296 (multiplicity 4)
Sc  0.136  0.500  0.567 (multiplicity 4)
C  0.000  0.500  0.500 (multiplicity 2)
Br  0.000  0.500  0.000 (multiplicity 2)
Br  0.174  0.000  0.811 (multiplicity 4)
Cl  0.172  0.000  0.375 (multiplicity 4)

V   25.939 A^3/atom
Energy   -5.53 eV per atom
Total moment   0.00 μB/f.u.
Crystal system   monoclinic